This record from Alexandria describes a relaxed Ba6IrBr crystal. The functional is PBE.

Lattice parameters (Å, degrees): 8.0215 8.0191 8.9551 63.41 63.49 60.05
Atoms (fractional coordinates):
Ba  0.0712  0.3940  0.7671
Ba  0.7671  0.0702  0.7678
Ba  0.6066  0.2328  0.2321
Ba  0.2329  0.9298  0.2322
Ba  0.9288  0.6060  0.2329
Ba  0.3934  0.7672  0.7679
Ir  0.0000  0.0000  0.0000
Br  0.5000  0.5000  0.5000

## Properties
space-group type	No. 2
formation energy (no corrections)	-0.50	eV per atom
density	4.26	g/cm³
electronic total energy	-26.045	eV for the cell shown
crystal system	triclinic